Entry 1:
Compound: NpP4Pd12
Source: Alexandria
Functional: PBE-GGA
Structure: relaxed

Values from the calculation:
Spin magnetization in μB/cell: 4.190
Energy relative to the elements in eV/atom: -0.34
D(E_F) in states/eV per cell: 6.283

Structure (extended XYZ):
```
17
Lattice="-4.1778 4.1778 4.1778 4.1778 -4.1778 4.1778 4.1778 4.1778 -4.1778" Properties=species:S:1:pos:R:3 pbc="T T T"
Np 0.0000 0.0000 0.0000
P 2.0889 2.0889 -2.0889
P 2.0889 -2.0889 2.0889
P -2.0889 2.0889 2.0889
P 2.0889 2.0889 2.0889
Pd 4.1778 2.7524 -1.3718
Pd 2.8060 0.0000 1.4254
Pd 5.5496 0.0000 1.4254
Pd 1.4254 2.8060 0.0000
Pd 2.7524 -1.3718 4.1778
Pd 4.1778 2.7524 1.3718
Pd 0.0000 1.4254 2.8060
Pd 1.4254 5.5496 0.0000
Pd 2.7524 1.3718 4.1778
Pd -1.3718 4.1778 2.7524
Pd 1.3718 4.1778 2.7524
Pd 0.0000 1.4254 5.5496
```



Entry 2:
Compound: Pm2NiI
Source: Alexandria
Functional: PBE-GGA
Structure: relaxed

Values from the calculation:
Spin magnetization in μB/cell: 0.000
Formation energy (no corrections) in eV/atom: -0.669
D(E_F) in states/eV per cell: 8.449
Excess energy over the best structure of this formula in the dataset in eV per atom: 0.000

Structure (extended XYZ):
```
12
Lattice="4.1114 0.0000 0.0000 -2.0557 3.5606 0.0000 0.0000 0.0000 24.0647" Properties=species:S:1:pos:R:3 pbc="T T T"
Pm 0.0000 0.0000 5.4708
Pm 0.0000 0.0000 18.5939
Pm 0.0000 2.3737 10.5723
Pm 0.0000 2.3737 21.5139
Pm 2.0557 1.1869 2.5507
Pm 2.0557 1.1869 13.4924
Ni 0.0000 0.0000 12.0323
Ni 0.0000 2.3737 4.0108
Ni 2.0557 1.1869 20.0539
I 0.0000 0.0000 0.0000
I 0.0000 2.3737 16.0431
I 2.0557 1.1869 8.0216
```